DFT (PBE) results for crystalline BaCd6Pt6 at its relaxed geometry.

Cell: 5.639 9.433 9.766 Å, 90.00 90.00 90.00°
Space group Immm (No. 71)
Symmetry-distinct sites (fractional):
Ba (0.000, 0.000, 0.000) x2
Cd (0.000, 0.000, 0.350) x4
Cd (0.000, 0.345, 0.000) x4
Cd (0.000, 0.500, 0.306) x4
Pt (0.000, 0.264, 0.500) x4
Pt (0.250, 0.250, 0.250) x8

DOS(E_F) = 0.4356 states/eV per atom
E_form = -0.420 eV/atom
Volume = 19.98 Å³/atom


DFT (PBE) results for crystalline BaCd4Pt2 at its relaxed geometry.

Cell: 8.501 8.501 4.545 Å, 90.00 90.00 90.00°
Space group P4_2/mnm (No. 136)
Symmetry-distinct sites (fractional):
Ba (0.000, 0.000, 0.000) x2
Cd (0.089, 0.340, 0.500) x8
Pt (0.221, 0.779, 0.500) x4

E above lowest polymorph = 0.0 kJ/mol of formula units
DOS(E_F) = 0.3542 states/eV per atom
E_form = -0.470 eV/atom
Volume = 23.46 Å³/atom


DFT (PBE) results for crystalline Ba2CdPt2 at its relaxed geometry.

Cell: 8.145 8.145 4.418 Å, 90.00 90.00 90.00°
Space group P4/mbm (No. 127)
Symmetry-distinct sites (fractional):
Ba (0.172, 0.328, 0.000) x4
Cd (0.000, 0.000, 0.500) x2
Pt (0.125, 0.625, 0.500) x4

DOS(E_F) = 0.3350 states/eV per atom
E_form = -0.588 eV/atom
Volume = 29.31 Å³/atom


DFT (PBE) results for crystalline BaCd4Pt at its relaxed geometry.

Cell: 7.367 7.367 7.920 Å, 90.00 90.13 90.00°
Space group C2/m (No. 12)
Symmetry-distinct sites (fractional):
Ba (0.000, 0.000, 0.000) x2
Cd (0.000, 0.500, 0.172) x4
Cd (0.250, 0.250, 0.500) x4
Pt (0.000, 0.500, 0.500) x2

E above lowest polymorph = 124.0 kJ/mol of formula units
DOS(E_F) = 0.3570 states/eV per atom
E_form = -0.148 eV/atom
Volume = 35.81 Å³/atom